Material: LiSbWI2
Method: DFT, PBE
State: optimized geometry

abc: 5.141 5.141 5.301
angles: 90.00 90.00 90.00
Site moments in Bohr magnetons follow the coordinates.
Fractional coordinates of all 5 atoms:
Li 0.000 0.000 0.000  0.00
W 0.500 0.500 0.500  3.04
I 0.500 0.000 0.000  -0.07
I 0.000 0.500 0.000  -0.07
Sb 0.000 0.000 0.500  -0.24

Output
ΔE to the lowest computed polymorph: 732.5 meV/atom
VASP energy: -3.24 eV/atom

---

Material: LiYSb2I
Method: DFT, PBE
State: optimized geometry

abc: 4.937 4.937 5.705
angles: 90.00 90.00 90.00
Fractional coordinates of all 5 atoms:
Y 0.500 0.500 0.500
Sb 0.000 0.500 0.000
Sb 0.500 0.000 0.000
I 0.000 0.000 0.500
Li 0.000 0.000 0.000

Output
ΔE to the lowest computed polymorph: 0.0 meV/atom
VASP energy: -3.79 eV/atom

---

Material: LiYSb2I
Method: DFT, PBE
State: optimized geometry

abc: 5.857 5.857 6.105
angles: 90.00 90.00 90.00
Site moments in Bohr magnetons follow the coordinates.
Fractional coordinates of all 5 atoms:
Y 0.000 0.000 0.000  0.00
I 0.000 0.000 0.500  0.06
Sb 0.500 0.000 0.000  0.08
Li 0.500 0.500 0.500  0.00
Sb 0.000 0.500 0.000  0.08

Output
ΔE to the lowest computed polymorph: 11.7 meV/atom
VASP energy: -3.78 eV/atom

---

Material: LiZrSb2I
Method: DFT, PBE
State: optimized geometry

abc: 5.526 5.526 6.152
angles: 90.00 90.00 90.00
Fractional coordinates of all 5 atoms:
Sb 0.500 0.000 0.000
Sb 0.000 0.500 0.000
Zr 0.000 0.000 0.000
Li 0.500 0.500 0.500
I 0.000 0.000 0.500

Output
ΔE to the lowest computed polymorph: 0.0 meV/atom
VASP energy: -4.15 eV/atom

---

Material: LiZrSbI2
Method: DFT, PBE
State: optimized geometry

abc: 5.823 5.823 5.645
angles: 90.00 90.00 90.00
Fractional coordinates of all 5 atoms:
I 0.500 0.000 0.000
Sb 0.000 0.000 0.500
I 0.000 0.500 0.000
Zr 0.000 0.000 0.000
Li 0.500 0.500 0.500

Output
ΔE to the lowest computed polymorph: 0.0 meV/atom
VASP energy: -3.82 eV/atom

---

Material: LiZrSb2I
Method: DFT, PBE
State: optimized geometry

abc: 4.875 4.875 5.497
angles: 90.00 90.00 90.00
Site moments in Bohr magnetons follow the coordinates.
Fractional coordinates of all 5 atoms:
I 0.000 0.000 0.500  -0.05
Zr 0.500 0.500 0.500  0.71
Sb 0.500 0.000 0.000  -0.03
Sb 0.000 0.500 0.000  -0.03
Li 0.000 0.000 0.000  0.01

Output
ΔE to the lowest computed polymorph: 460.0 meV/atom
VASP energy: -3.69 eV/atom

---

Material: LiZrSbI2
Method: DFT, PBE
State: optimized geometry

abc: 5.002 5.002 5.645
angles: 90.00 90.00 90.00
Fractional coordinates of all 5 atoms:
Zr 0.500 0.500 0.500
Li 0.000 0.000 0.000
I 0.500 0.000 0.000
Sb 0.000 0.000 0.500
I 0.000 0.500 0.000

Output
ΔE to the lowest computed polymorph: 551.4 meV/atom
VASP energy: -3.26 eV/atom

---

Material: Li2ScI4
Method: DFT, PBE
State: optimized geometry

abc: 8.552 8.415 8.553
angles: 122.12 109.45 98.40
Site moments in Bohr magnetons follow the coordinates.
Fractional coordinates of all 14 atoms:
Li 0.625 0.375 0.750  0.01
I 0.825 0.619 0.195  0.00
I 0.308 0.071 0.762  -0.01
I 0.338 0.587 0.249  0.00
Sc 0.129 0.591 0.462  0.69
Sc 0.121 0.159 0.038  0.69
I 0.942 0.679 0.737  -0.01
I 0.827 0.131 0.707  0.00
Li 0.625 0.376 0.251  0.00
I 0.423 0.619 0.793  0.00
I 0.425 0.131 0.304  0.00
I 0.912 0.163 0.251  0.00
Li 0.625 0.875 0.250  0.01
Li 0.125 0.374 0.749  0.00

Output
VASP energy: -3.43 eV/atom

---

Total magnetic moment? In order: 3.40 0.00 0.52 0.00 0.00 0.87 0.00 2.03 μB per cell.
V? In order: 140.11 139.06 209.41 187.84 191.44 130.64 141.26 449.45 Å³/cell.